(1)
Compound: LiCaZn2
Source: Alexandria via LeMat-Bulk
Functional: meta-GGA SCAN
Structure: PBEsol geometry

Lattice parameters (Å, degrees): 5.0689 5.0689 5.0689 128.03 128.03 76.58
Closest atoms and distances in Å follow each position.
Element x y z (fractional)
Li 0.0000 0.0000 0.0000  8 Zn 2.98, 4 Ca 3.14
Ca 0.5000 0.5000 0.0000  8 Zn 2.98, 4 Li 3.14
Zn 0.2500 0.7500 0.5000  4 Li 2.98, 4 Ca 2.98, 4 Zn 3.14
Zn 0.7500 0.2500 0.5000  4 Li 2.98, 4 Ca 2.98, 4 Zn 3.14

Formation enthalpy at 0 K, eV/atom: -0.132
Energy relative to the lowest polymorph listed for this composition, kcal/mol of atoms: 2.73
Mass density, g/cm3: 3.762
Crystal system: tetragonal
V, Å³/f.u.: 78.5
E_tot, eV/f.u.: -39.61


(2)
Compound: LiCaZn2
Source: Alexandria via LeMat-Bulk
Functional: meta-GGA SCAN
Structure: PBEsol geometry

Lattice parameters (Å, degrees): 4.6943 4.6943 4.6943 60.00 60.00 60.00
Closest atoms and distances in Å follow each position.
Element x y z (fractional)
Li 0.0000 0.0000 0.0000  4 Ca 2.87, 4 Zn 2.87
Ca 0.7500 0.7500 0.7500  4 Li 2.87, 4 Zn 2.87
Zn 0.2500 0.2500 0.2500  4 Li 2.87, 4 Zn 2.87
Zn 0.5000 0.5000 0.5000  4 Ca 2.87, 4 Zn 2.87

Formation enthalpy at 0 K, eV/atom: -0.186
Energy relative to the lowest polymorph listed for this composition, kcal/mol of atoms: 1.49
Mass density, g/cm3: 4.037
Crystal system: cubic
V, Å³/f.u.: 73.1
E_tot, eV/f.u.: -39.83


(3)
Compound: LiCaZn2
Source: Alexandria via LeMat-Bulk
Functional: meta-GGA SCAN
Structure: PBEsol geometry

Lattice parameters (Å, degrees): 5.5047 5.5047 5.5047 46.78 46.78 46.78
Closest atoms and distances in Å follow each position.
Element x y z (fractional)
Li 0.0000 0.0000 0.0000  6 Zn 2.67-2.75, 1 Ca 2.94
Ca 0.2006 0.2006 0.2006  4 Li 2.94-3.19, 7 Zn 3.05-3.26
Zn 0.4084 0.4084 0.4084  3 Zn 2.53, 3 Li 2.75
Zn 0.7269 0.7269 0.7269  3 Zn 2.53, 3 Li 2.67

Formation enthalpy at 0 K, eV/atom: -0.251
Energy relative to the lowest polymorph listed for this composition, kcal/mol of atoms: 0.00
Mass density, g/cm3: 3.649
Crystal system: trigonal
V, Å³/f.u.: 80.9
E_tot, eV/f.u.: -40.09


(4)
Compound: LiCa2Zr
Source: Alexandria via LeMat-Bulk
Functional: meta-GGA SCAN
Structure: PBEsol geometry

Lattice parameters (Å, degrees): 3.4540 3.4540 9.3468 90.00 90.00 90.00
Closest atoms and distances in Å follow each position.
Element x y z (fractional)
Li 0.0000 0.0000 0.0000  4 Zr 2.97, 4 Ca 3.24
Ca 0.0000 0.0000 0.4396  4 Zr 3.43, 4 Ca 3.45
Ca 0.5000 0.5000 0.7724  4 Li 3.24, 4 Ca 3.45
Zr 0.5000 0.5000 0.1815  4 Li 2.97

Formation enthalpy at 0 K, eV/atom: 0.313
Energy relative to the lowest polymorph listed for this composition, kcal/mol of atoms: 0.00
Mass density, g/cm3: 2.655
Crystal system: tetragonal
V, Å³/f.u.: 111.5
E_tot, eV/f.u.: -51.16


(5)
Compound: LiCa2Zr
Source: Alexandria via LeMat-Bulk
Functional: meta-GGA SCAN
Structure: PBEsol geometry

Lattice parameters (Å, degrees): 5.7692 5.7692 3.4719 90.00 90.00 90.00
Closest atoms and distances in Å follow each position.
Element x y z (fractional)
Li 0.0000 0.0000 0.0000  8 Ca 3.37, 2 Li 3.47
Ca 0.0000 0.5000 0.5000  4 Zr 3.37, 4 Li 3.37, 2 Ca 3.47
Ca 0.5000 0.0000 0.5000  4 Zr 3.37, 4 Li 3.37, 2 Ca 3.47
Zr 0.5000 0.5000 0.0000  8 Ca 3.37, 2 Zr 3.47

Formation enthalpy at 0 K, eV/atom: 0.375
Energy relative to the lowest polymorph listed for this composition, kcal/mol of atoms: 1.42
Mass density, g/cm3: 2.562
Crystal system: tetragonal
V, Å³/f.u.: 115.6
E_tot, eV/f.u.: -50.92


(6)
Compound: LiCa2Zr
Source: Alexandria via LeMat-Bulk
Functional: meta-GGA SCAN
Structure: PBEsol geometry

Lattice parameters (Å, degrees): 3.6628 5.4028 5.6617 90.00 90.00 90.00
Closest atoms and distances in Å follow each position.
Element x y z (fractional)
Li 0.0000 0.0000 0.0000  4 Ca 3.26, 4 Zr 3.37
Ca 0.0000 0.5000 0.5000  4 Zr 3.26, 4 Ca 3.37
Ca 0.5000 0.5000 0.0000  4 Li 3.26, 4 Ca 3.37
Zr 0.5000 0.0000 0.5000  4 Ca 3.26, 4 Li 3.37

Formation enthalpy at 0 K, eV/atom: 0.475
Energy relative to the lowest polymorph listed for this composition, kcal/mol of atoms: 3.74
Mass density, g/cm3: 2.643
Crystal system: orthorhombic
V, Å³/f.u.: 112.0
E_tot, eV/f.u.: -50.51


(7)
Compound: CaLuMn2O6
Source: Alexandria via LeMat-Bulk
Functional: meta-GGA SCAN
Structure: PBEsol geometry

Lattice parameters (Å, degrees): 7.3898 5.4137 5.1745 90.00 90.00 90.00
Closest atoms and distances in Å follow each position.
Element x y z (fractional)
Ca 0.0000 0.1947 0.0000  6 O 2.28-2.51
Ca 0.5000 0.8053 0.5000  6 O 2.28-2.51
Lu 0.0000 0.6788 0.4664  6 O 2.19-2.36
Lu 0.5000 0.3212 0.9664  6 O 2.19-2.36
Mn 0.2504 0.2455 0.4867  6 O 1.91-1.95
Mn 0.2496 0.7545 0.9867  6 O 1.91-1.95
Mn 0.7496 0.2455 0.4867  6 O 1.91-1.95
Mn 0.7504 0.7545 0.9867  6 O 1.91-1.95
O 0.0000 0.2821 0.5697  2 Mn 1.91
O 0.0000 0.7736 0.8771  2 Mn 1.93
O 0.1972 0.9437 0.2964  2 Mn 1.94-1.95
O 0.2026 0.4627 0.1970  2 Mn 1.94-1.95
O 0.2974 0.5373 0.6970  2 Mn 1.94-1.95
O 0.3028 0.0563 0.7964  2 Mn 1.94-1.95
O 0.5000 0.2264 0.3771  2 Mn 1.93
O 0.5000 0.7179 0.0697  2 Mn 1.91
O 0.6972 0.0563 0.7964  2 Mn 1.94-1.95
O 0.7026 0.5373 0.6970  2 Mn 1.94-1.95
O 0.7974 0.4627 0.1970  2 Mn 1.94-1.95
O 0.8028 0.9437 0.2964  2 Mn 1.94-1.95

Energy relative to the lowest polymorph listed for this composition, kcal/mol of atoms: 0.07
Mass density, g/cm3: 6.753
Crystal system: orthorhombic
V, Å³/f.u.: 103.5
Formation energy without anion corrections, kJ/mol of formula units: -2833
E_tot, eV/f.u.: -168.26


(8)
Compound: CaLuMn2O6
Source: Alexandria via LeMat-Bulk
Functional: meta-GGA SCAN
Structure: PBEsol geometry

Lattice parameters (Å, degrees): 7.4402 5.1596 5.3971 90.00 90.00 90.00
Closest atoms and distances in Å follow each position.
Element x y z (fractional)
Ca 0.0000 0.2371 0.0000  4 O 2.29-2.33
Ca 0.0000 0.7629 0.5000  4 O 2.29-2.33
Lu 0.5000 0.2663 0.1263  8 O 2.20-2.45
Lu 0.5000 0.7337 0.6263  8 O 2.20-2.45
Mn 0.2499 0.2458 0.5568  6 O 1.90-1.97
Mn 0.2499 0.7542 0.0568  6 O 1.90-1.97
Mn 0.7501 0.2458 0.5568  6 O 1.90-1.97
Mn 0.7501 0.7542 0.0568  6 O 1.90-1.97
O 0.0000 0.3271 0.5766  2 Mn 1.91
O 0.0000 0.6729 0.0766  2 Mn 1.91
O 0.2179 0.0590 0.2500  2 Mn 1.90-1.93
O 0.2179 0.9410 0.7500  2 Mn 1.90-1.93
O 0.3109 0.4520 0.8518  2 Mn 1.96-1.97
O 0.3109 0.5480 0.3518  2 Mn 1.96-1.97
O 0.5000 0.1466 0.5242  2 Mn 1.94
O 0.5000 0.8534 0.0242  2 Mn 1.94
O 0.6891 0.4520 0.8518  2 Mn 1.96-1.97
O 0.6891 0.5480 0.3518  2 Mn 1.96-1.97
O 0.7821 0.0590 0.2500  2 Mn 1.90-1.93
O 0.7821 0.9410 0.7500  2 Mn 1.90-1.93

Energy relative to the lowest polymorph listed for this composition, kcal/mol of atoms: 0.00
Mass density, g/cm3: 6.747
Crystal system: orthorhombic
V, Å³/f.u.: 103.6
Formation energy without anion corrections, kJ/mol of formula units: -2835
E_tot, eV/f.u.: -168.29


Number 2 is which compound?
LiCaZn2


Among the records above, which one has the highest mass density?
number 7